# PBE-GGA PmPu2Se4, optimized geometry
data_PmPu2Se4
_cell_length_a 4.072
_cell_length_b 13.636
_cell_length_c 13.925
_cell_angle_alpha 90.00
_cell_angle_beta 90.00
_cell_angle_gamma 90.00
_space_group_name_H-M_alt 'C m c m'
_space_group_IT_number 63
_space_group_name_Hall '-C 2c 2'
loop_
_atom_site_label
_atom_site_fract_x
_atom_site_fract_y
_atom_site_fract_z
Pm1 0.000 0.119 0.250
Pu1 0.000 0.367 0.067
Se1 0.000 0.000 0.000
Se2 0.000 0.275 0.624
Se3 0.000 0.465 0.250
# N(E_F), states/eV/f.u.: 19.21
# Magnetization, μB per atom: 1.57
# E_form (uncorrected), eV/f.u.: -11.3